Entry 1:
Ca2AlSn2 | GGA-PBE | relaxed

- Fermi-level density of states: 7.26 states/eV/cell
- Volume: 29.8 Å³/atom
- Energy relative to the elements: -0.413 eV per atom

a b c (Å): 6.5091 6.8237 8.1998
angles (deg): 114.59 113.38 90.00
Sites, in units of the cell vectors:
Ca  0.6410  0.9359  0.2820
Ca  0.8590  0.6539  0.7180
Ca  0.3590  0.0641  0.7180
Al  0.2500  0.5000  0.0000
Sn  0.3831  0.6163  0.7662
Sn  0.1169  0.8501  0.2338
Sn  0.6169  0.3837  0.2338
Ca  0.1410  0.3461  0.2820
Sn  0.8831  0.1499  0.7662
Al  0.7500  0.5000  0.0000

=====

Entry 2:
Pt6Rh5 | GGA-PBE | relaxed

- Fermi-level density of states: 18.03 states/eV/cell
- Volume: 15.5 Å³/atom
- Energy relative to the elements: 0.095 eV per atom

a b c (Å): 7.8001 6.4469 4.6284
angles (deg): 76.10 66.61 52.77
Sites, in units of the cell vectors:
Pt  0.6695  0.2836  0.1392
Pt  0.3305  0.7164  0.8608
Rh  0.5000  0.0000  0.5000
Pt  0.8114  0.0000  0.6377
Rh  0.3682  0.2636  0.0000
Pt  0.0468  0.2836  0.8608
Rh  0.6318  0.7364  0.0000
Rh  0.7699  0.4602  0.5000
Pt  0.9532  0.7164  0.1392
Pt  0.1886  0.0000  0.3623
Rh  0.2301  0.5398  0.5000

=====

Entry 3:
AlIr4 | GGA-PBE | relaxed

- Fermi-level density of states: 9.83 states/eV/cell
- Volume: 16.9 Å³/atom
- Energy relative to the elements: 1.362 eV per atom

a b c (Å): 4.3858 4.3858 4.3858
angles (deg): 90.00 90.00 90.00
Sites, in units of the cell vectors:
Ir  0.0000  0.0000  0.0000
Ir  0.0000  0.5000  0.5000
Ir  0.5000  0.0000  0.5000
Ir  0.5000  0.5000  0.0000
Al  0.5000  0.5000  0.5000